La6TlCd | PBE | optimized geometry

Results
The relative energy among the computed polymorphs comes out at 0 meV/atom. The calculation puts the uncorrected energy at -4.289 eV/atom. The total magnetization is 0.00 μB/cell. For the formation energy from the elements, the calculation gives -0.184 eV per atom.

a b c (Å): 10.037 10.037 10.037
angles (deg): 148.81 148.81 44.70
Fractional positions:
La 0.114 0.614 0.500
La 0.250 0.250 0.000
La 0.386 0.886 0.500
La 0.614 0.114 0.500
La 0.750 0.750 0.000
La 0.886 0.386 0.500
Tl 0.000 0.000 0.000
Cd 0.500 0.500 0.000